A plane-wave DFT calculation with GGA+U was carried out for a relaxed V2PIO crystal.

Values from the calculation:
**Spin magnetization**: 5.689 μB/f.u.
**Space-group type**: P4/mmm, No. 123
**E**: -0.2611 Ry per atom

POSCAR file:
```
V2PIO
1.0
5.3552 0.0000 0.0000
0.0000 5.3552 0.0000
0.0000 0.0000 5.0964
V P I O
2 1 1 1
Direct
0.0000 0.5000 0.0000 V
0.5000 0.0000 0.0000 V
0.0000 0.0000 0.5000 P
0.0000 0.0000 0.0000 I
0.5000 0.5000 0.5000 O
```